# 1
An optimized crystal structure of Cs3AlBr6, computed with PBE.

POSCAR file:
```
Cs3AlBr6
1.0
-0.336 -2.769 7.914
1.135 -8.150 1.645
7.001 -2.568 3.847
Cs Al Br
3 1 6
direct
0.250 0.250 0.250 Cs
0.750 0.750 0.750 Cs
0.000 0.000 0.000 Cs
0.500 0.500 0.500 Al
0.287 0.713 0.713 Br
0.713 0.287 0.713 Br
0.287 0.713 0.287 Br
0.287 0.287 0.713 Br
0.713 0.713 0.287 Br
0.713 0.287 0.287 Br
```

Calculated values
- ρ: 3.60 g/cm3
- Energy: -3.134 eV/atom
- ΔE_f (raw): -144.8 kJ per mole of atoms

***

# 2
An optimized crystal structure of Nd7Cd4Pb, computed with PBE.

POSCAR file:
```
Nd7Cd4Pb
1.0
6.023 0.000 0.000
3.011 8.575 1.280
3.011 1.316 7.392
Nd Cd Pb
7 4 1
direct
0.820 0.879 0.481 Nd
0.180 0.121 0.519 Nd
0.074 0.592 0.261 Nd
0.926 0.408 0.739 Nd
0.264 0.703 0.770 Nd
0.500 0.000 0.000 Nd
0.736 0.297 0.230 Nd
0.524 0.322 0.630 Cd
0.476 0.678 0.370 Cd
0.689 0.660 0.962 Cd
0.311 0.340 0.038 Cd
0.000 0.000 0.000 Pb
```

Calculated values
- Formation energy from the elements: -166 meV per atom
- ρ: 7.45 g/cm3
- Energy: -3.561 eV/atom

***

# 3
An optimized crystal structure of NaScCrAg2, computed with PBE.

POSCAR file:
```
NaScCrAg2
1.0
-4.543 -1.269 -1.942
-0.037 -3.911 2.643
-2.320 2.559 3.754
Sc Cr Ag Na
1 1 2 1
direct
0.000 0.500 0.000 Sc
0.000 0.000 0.000 Cr
0.000 0.000 0.500 Ag
0.500 0.000 0.000 Ag
0.500 0.500 0.500 Na
```

Calculated values
- Formation energy from the elements: 614 meV per atom
- ρ: 4.54 g/cm3
- Energy: -3.981 eV/atom

***

# 4
An optimized crystal structure of ZrAlCu2, computed with PBE.

POSCAR file:
```
ZrAlCu2
1.0
-3.449 2.439 -1.544
-4.211 -0.303 -1.549
-2.646 0.727 4.579
Cu Zr Al
2 1 1
direct
0.009 0.009 0.955 Cu
0.491 0.491 0.545 Cu
0.250 0.250 0.250 Zr
0.750 0.750 0.750 Al
```

Calculated values
- Formation energy from the elements: -123 meV per atom
- ρ: 6.38 g/cm3
- Energy: -5.244 eV/atom